Density functional theory data (PBE) for a geometry-optimized Cs3Sm2HfS6 structure.

Properties
**Raw total energy**: -66.65 eV per cell
**Calculated volume**: 28.7 Å³ per atom
**Symmetry**: C2/m (12)

Unit cell a=7.020 b=7.020 c=8.410 alpha=98.01 beta=98.01 gamma=120.00
Positions (direct):
S1 0.061 0.370 0.181
S2 0.630 0.939 0.819
S3 0.248 0.248 0.817
S4 0.752 0.752 0.183
S5 0.370 0.061 0.181
S6 0.939 0.630 0.819
Cs1 0.170 0.830 0.500
Cs2 0.830 0.170 0.500
Cs3 0.500 0.500 0.500
Sm1 0.334 0.666 0.000
Sm2 0.666 0.334 0.000
Hf1 0.000 0.000 0.000

Density functional theory data (PBE) for a geometry-optimized Cs2Sm2HfS6 structure.

Properties
**Raw total energy**: -65.48 eV per cell
**Calculated volume**: 31.3 Å³ per atom
**Symmetry**: C2/m (12)

Unit cell a=6.924 b=6.924 c=8.590 alpha=98.07 beta=98.07 gamma=119.55
Positions (direct):
Hf1 0.000 0.000 0.500
Cs1 0.830 0.170 0.000
Cs2 0.170 0.830 0.000
Sm1 0.333 0.667 0.500
Sm2 0.667 0.333 0.500
S1 0.939 0.630 0.323
S2 0.246 0.246 0.324
S3 0.630 0.939 0.323
S4 0.370 0.061 0.677
S5 0.754 0.754 0.676
S6 0.061 0.370 0.677

Density functional theory data (PBE) for a geometry-optimized CsSmHfS4 structure.

Properties
**Raw total energy**: -87.43 eV per cell
**Calculated volume**: 32.5 Å³ per atom
**Symmetry**: P2_1/m (11)

Unit cell a=6.992 b=7.080 c=9.708 alpha=90.00 beta=108.96 gamma=90.00
Positions (direct):
S1 0.995 0.999 0.686
S2 0.479 0.750 0.580
S3 0.545 0.250 0.809
S4 0.005 0.499 0.314
S5 0.995 0.501 0.686
S6 0.455 0.750 0.191
S7 0.005 0.001 0.314
S8 0.521 0.250 0.420
Hf1 0.249 0.750 0.343
Hf2 0.751 0.250 0.657
Sm1 0.204 0.250 0.546
Sm2 0.796 0.750 0.454
Cs1 0.724 0.750 0.943
Cs2 0.276 0.250 0.057